Entry 1:
DFT (PBE) results for AlPtSe2 after structural relaxation.

Cell lengths 3.6369, 4.5194, 6.3308 Å; angles 90.33, 90.00, 90.00 degrees
Sites, in units of the cell vectors:
Se 0.0000 0.7746 0.8776
Se 0.5000 0.3460 0.3536
Pt 0.5000 0.9932 0.6562
Al 0.0000 0.3862 0.6126

Output
**Density of states at the Fermi level**: 1.2 states/eV/cell
**Space-group type**: Pm, No. 6
**Raw formation energy**: -0.478 eV/atom

=====

Entry 2:
DFT (PBE) results for TcHgGeOsW after structural relaxation.

Cell lengths 6.3604, 2.9876, 9.2935 Å; angles 90.00, 97.80, 90.00 degrees
Sites, in units of the cell vectors:
Ge 0.9493 0.0000 0.7099
Ge 0.9493 0.5000 0.2099
W 0.7905 0.0000 0.4114
W 0.7905 0.5000 0.9114
Os 0.6242 0.0000 0.1150
Os 0.6242 0.5000 0.6150
Hg 0.2395 0.5000 0.0200
Hg 0.2395 0.0000 0.5200
Tc 0.4779 0.5000 0.3209
Tc 0.4779 0.0000 0.8209

Output
**Density of states at the Fermi level**: 5.6 states/eV/cell
**Space-group type**: Cm, No. 8
**ΔE_f**: 35 kJ per mole of atoms

=====

Entry 3:
DFT (PBE) results for NdHfSb2O after structural relaxation.

Cell lengths 3.9447, 3.9447, 15.0913 Å; angles 90.00, 90.00, 90.00 degrees
Sites, in units of the cell vectors:
Hf 0.5000 0.0000 0.0704
Hf 0.0000 0.5000 0.9296
Nd 0.0000 0.5000 0.4190
Nd 0.5000 0.0000 0.5810
Sb 0.5000 0.0000 0.2708
Sb 0.5000 0.0000 0.8716
Sb 0.0000 0.5000 0.1284
Sb 0.0000 0.5000 0.7292
O 0.5000 0.5000 0.5000
O 0.0000 0.0000 0.5000

Output
**Density of states at the Fermi level**: 4.8 states/eV/cell
**Space-group type**: P4/nmm, No. 129
**Raw formation energy**: -1.434 eV/atom

=====

Entry 4:
DFT (PBE) results for LiHS after structural relaxation.

Cell lengths 3.6535, 3.3257, 3.3257 Å; angles 120.00, 90.00, 90.00 degrees
Sites, in units of the cell vectors:
Li 0.6671 0.3333 0.6667
S 0.1666 0.6667 0.3333
H 0.1663 0.0000 0.0000

Output
**Space-group type**: P-6m2, No. 187

=====

Entry 5:
DFT (PBE) results for Tb6CdRu after structural relaxation.

Cell lengths 5.0777, 5.0777, 9.3405 Å; angles 74.23, 74.21, 90.00 degrees
Sites, in units of the cell vectors:
Tb 0.6006 0.1007 0.7986
Tb 0.2501 0.2503 0.4994
Tb 0.3994 0.8993 0.2014
Tb 0.7499 0.7497 0.5006
Tb 0.8991 0.3993 0.2014
Tb 0.1009 0.6007 0.7986
Ru 0.0000 0.0000 0.0000
Cd 0.5000 0.5000 0.0000

Output
**Density of states at the Fermi level**: 10.0 states/eV/cell
**Space-group type**: I4/mmm, No. 139
**ΔE_f**: -10 kJ per mole of atoms

=====

Entry 6:
DFT (PBE) results for Ba2UAs2O10 after structural relaxation.

Cell lengths 8.9424, 11.4396, 21.7476 Å; angles 73.99, 90.00, 90.00 degrees
Sites, in units of the cell vectors:
O 0.5150 0.8938 0.3729
O 0.2729 0.8279 0.9386
O 0.0987 0.8326 0.6764
O 0.2257 0.1206 0.2350
O 0.3057 0.6058 0.4146
O 0.9942 0.3542 0.5148
O 0.5657 0.6621 0.4788
O 0.9752 0.3914 0.3633
O 0.0784 0.1179 0.5911
O 0.9064 0.3588 0.9061
O 0.2156 0.3320 0.9082
O 0.0936 0.6412 0.0939
O 0.4216 0.1179 0.0911
O 0.0248 0.6086 0.6367
O 0.7610 0.3870 0.2475
O 0.2271 0.8279 0.4386
O 0.5372 0.8657 0.5230
O 0.7257 0.8794 0.2650
O 0.1112 0.3375 0.6798
O 0.7271 0.1721 0.0614
O 0.5945 0.1736 0.3049
O 0.5784 0.8821 0.9089
O 0.9216 0.8821 0.4089
O 0.2080 0.8290 0.7940
O 0.2844 0.3320 0.4082
O 0.0657 0.3379 0.0212
O 0.9628 0.8657 0.0230
O 0.4055 0.8264 0.6951
O 0.4064 0.6412 0.5939
O 0.4850 0.1062 0.6271
O 0.6814 0.6613 0.2258
O 0.9013 0.1674 0.3236
O 0.0058 0.6458 0.4852
O 0.1814 0.3387 0.2742
O 0.5058 0.3542 0.0148
O 0.4343 0.3379 0.5212
O 0.4752 0.6086 0.1367
O 0.0809 0.3378 0.1579
O 0.9850 0.8938 0.8729
O 0.0370 0.8464 0.5336
O 0.1943 0.6058 0.9146
O 0.2610 0.6130 0.2525
O 0.6943 0.3942 0.5854
O 0.5248 0.3914 0.8633
O 0.5370 0.1536 0.9664
O 0.9630 0.1536 0.4664
O 0.9343 0.6621 0.9788
O 0.8057 0.3942 0.0854
O 0.4942 0.6458 0.9852
O 0.7390 0.3870 0.7475
O 0.7156 0.6680 0.5918
O 0.6112 0.6625 0.8202
O 0.3145 0.1091 0.8799
O 0.3186 0.3387 0.7742
O 0.8145 0.8909 0.6201
O 0.2920 0.8290 0.2940
O 0.0150 0.1062 0.1271
O 0.1855 0.1091 0.3799
O 0.4191 0.3378 0.6579
O 0.2390 0.6130 0.7525
O 0.7729 0.1721 0.5614
O 0.4630 0.8464 0.0336
O 0.5987 0.1674 0.8236
O 0.7080 0.1710 0.7060
O 0.4013 0.8326 0.1764
O 0.6855 0.8909 0.1201
O 0.0945 0.8264 0.1951
O 0.7844 0.6680 0.0918
O 0.2743 0.1206 0.7350
O 0.4628 0.1343 0.4770
O 0.5936 0.3588 0.4061
O 0.8186 0.6613 0.7258
O 0.7743 0.8794 0.7650
O 0.9055 0.1736 0.8049
O 0.8888 0.6625 0.3202
O 0.0372 0.1343 0.9770
O 0.5809 0.6622 0.3421
O 0.3888 0.3375 0.1798
O 0.9191 0.6622 0.8421
O 0.7920 0.1710 0.2060
Ba 0.4929 0.9603 0.7822
Ba 0.3063 0.9673 0.5671
Ba 0.0198 0.4487 0.7798
Ba 0.9929 0.0397 0.7178
Ba 0.2025 0.4842 0.5572
Ba 0.4802 0.4487 0.2798
Ba 0.8063 0.0327 0.9329
Ba 0.5071 0.0397 0.2178
Ba 0.6937 0.0327 0.4329
Ba 0.1937 0.9673 0.0671
Ba 0.9802 0.5513 0.2202
Ba 0.7025 0.5158 0.9428
Ba 0.7975 0.5158 0.4428
Ba 0.0071 0.9603 0.2822
Ba 0.5198 0.5513 0.7202
Ba 0.2975 0.4842 0.0572
As 0.9579 0.2022 0.5361
As 0.2418 0.7668 0.7302
As 0.7582 0.2332 0.2698
As 0.7752 0.7255 0.7882
As 0.4579 0.7978 0.9639
As 0.2582 0.7668 0.2302
As 0.4476 0.2887 0.4522
As 0.9476 0.7113 0.0478
As 0.2248 0.2745 0.2118
As 0.5524 0.7113 0.5478
As 0.7418 0.2332 0.7698
As 0.0524 0.2887 0.9522
As 0.2752 0.2745 0.7118
As 0.5421 0.2022 0.0361
As 0.7248 0.7255 0.2882
As 0.0421 0.7978 0.4639
U 0.9090 0.2508 0.1070
U 0.0910 0.7492 0.8930
U 0.5910 0.2508 0.6070
U 0.5847 0.7502 0.1259
U 0.4090 0.7492 0.3930
U 0.0847 0.2498 0.3741
U 0.9153 0.7502 0.6259
U 0.4153 0.2498 0.8741

Output
**Density of states at the Fermi level**: 0.0 states/eV/cell
**Space-group type**: P2_1/c, No. 14
**Raw formation energy**: -2.345 eV/atom

=====

Entry 7:
DFT (PBE) results for Ba2Li5As3 after structural relaxation.

Cell lengths 4.5184, 7.9076, 13.6895 Å; angles 90.00, 99.50, 90.00 degrees
Sites, in units of the cell vectors:
As 0.2568 0.3848 0.5135
As 0.7432 0.8848 0.4865
As 0.3757 0.9423 0.7515
As 0.0372 0.8262 0.0743
As 0.6243 0.4423 0.2485
As 0.9628 0.3262 0.9257
Li 0.7119 0.2101 0.4237
Li 0.2881 0.7101 0.5763
Li 0.2722 0.0402 0.5444
Li 0.4291 0.2044 0.8581
Li 0.8385 0.8549 0.6770
Li 0.0585 0.4913 0.1170
Li 0.5709 0.7044 0.1419
Li 0.1615 0.3549 0.3230
Li 0.7278 0.5402 0.4556
Li 0.9415 0.9913 0.8830
Ba 0.8377 0.2735 0.6754
Ba 0.5432 0.1370 0.0864
Ba 0.1623 0.7735 0.3246
Ba 0.4568 0.6370 0.9136

Output
**Space-group type**: Cmc2_1, No. 36
**ΔE_f**: -80 kJ per mole of atoms

=====

Final energy
In order: -4.67, -7.53, -7.02, -3.45, -4.85, -7.28, -3.56
Unit: eV/atom
Total magnetization
In order: 0.0, 0.0, 0.0, 0.0, 0.0, 0.0, 0.0
Unit: μB/f.u.